P.
{
  "formula": "Co2PbCl",
  "functional": "PBE",
  "state": "relaxed",
  "spacegroup": "I-42d",
  "magmom_total_mub_per_cell": 2.00,
  "cell": [[-2.335, 2.335, 6.855], [2.335, -2.335, 6.855], [2.335, 2.335, -6.855]],
  "species": ["Co", "Co", "Co", "Co", "Pb", "Pb", "Cl", "Cl"],
  "fractional_positions": [[0.375, 0.221, 0.346], [0.779, 0.125, 0.154], [0.875, 0.029, 0.654], [0.971, 0.625, 0.846], [0.250, 0.750, 0.500], [0.500, 0.500, 0.000], [0.000, 0.000, 0.000], [0.750, 0.250, 0.500]]
}

=====

Q.
{
  "formula": "Co2PbCl",
  "functional": "PBE",
  "state": "relaxed",
  "spacegroup": "Pm",
  "magmom_total_mub_per_cell": 4.09,
  "cell": [[3.440, 0.000, 0.000], [0.000, 3.444, 0.000], [-0.080, 0.000, 7.421]],
  "species": ["Co", "Co", "Pb", "Cl"],
  "fractional_positions": [[0.000, 0.000, 0.000], [0.500, 0.500, 0.000], [0.007, 0.500, 0.303], [0.495, 0.000, 0.770]]
}

=====

R.
{
  "formula": "Co2PbCl",
  "functional": "PBE",
  "state": "relaxed",
  "spacegroup": "R3m",
  "magmom_total_mub_per_cell": 3.41,
  "cell": [[1.696, 0.979, 7.994], [-1.696, 0.979, 7.994], [0.000, -1.958, 7.994]],
  "species": ["Co", "Co", "Pb", "Cl"],
  "fractional_positions": [[0.000, 0.000, 0.000], [0.286, 0.286, 0.286], [0.756, 0.756, 0.756], [0.557, 0.557, 0.557]]
}

=====

S.
{
  "formula": "Co2PbCl",
  "functional": "PBE",
  "state": "relaxed",
  "spacegroup": "I-4m2",
  "magmom_total_mub_per_cell": 2.73,
  "cell": [[-1.822, 1.822, 5.447], [1.822, -1.822, 5.447], [1.822, 1.822, -5.447]],
  "species": ["Co", "Co", "Pb", "Cl"],
  "fractional_positions": [[0.000, 0.000, 0.000], [0.750, 0.250, 0.500], [0.250, 0.750, 0.500], [0.500, 0.500, 0.000]]
}

=====

Taking the most stable structure as the zero point, the relative energies in kJ/mol of atoms are P 25.9; Q 0.0; R 3.9; S 47.5.

=====

P.
{
  "formula": "Co2PbCl",
  "functional": "PBE",
  "state": "relaxed",
  "spacegroup": "C2/m",
  "magmom_total_mub_per_cell": 3.38,
  "cell": [[2.943, -4.463, 0.000], [2.943, 4.463, 0.000], [-1.760, 0.000, 2.765]],
  "species": ["Co", "Co", "Pb", "Cl"],
  "fractional_positions": [[0.000, 0.500, 0.000], [0.500, 0.000, 0.000], [0.000, 0.000, 0.500], [0.500, 0.500, 0.500]]
}

=====

Q.
{
  "formula": "Co2PbCl",
  "functional": "PBE",
  "state": "relaxed",
  "spacegroup": "F-43m",
  "magmom_total_mub_per_cell": 3.35,
  "cell": [[0.000, 3.332, 3.332], [3.332, 0.000, 3.332], [3.332, 3.332, 0.000]],
  "species": ["Co", "Co", "Pb", "Cl"],
  "fractional_positions": [[0.000, 0.000, 0.000], [0.250, 0.250, 0.250], [0.500, 0.500, 0.500], [0.750, 0.750, 0.750]]
}

=====

Taking the most stable structure as the zero point, the relative energies in kJ/mol of atoms are P 0.0; Q 18.1.